1.
A crystal of MgSc2Al relaxed with PBEsol. Source: the Alexandria database, functional meta-GGA SCAN.

For the formation energy, the calculation gives -0.11 eV per atom. The volume is 167 Å³ per cell. The uncorrected energy comes out at -10.4124 eV/atom. Its density of states at the Fermi level is 8.94 states/eV/cell.

Cell and atoms, written as CIF:
```
data_MgSc2Al
_space_group_name_H-M_alt 'I -4 m 2'
_space_group_IT_number 119
_space_group_name_Hall 'I -4 -2'
_cell_length_a 4.2592
_cell_length_b 4.2592
_cell_length_c 9.2156
_cell_angle_alpha 90.00
_cell_angle_beta 90.00
_cell_angle_gamma 90.00
loop_
_atom_site_label
_atom_site_type_symbol
_atom_site_fract_x
_atom_site_fract_y
_atom_site_fract_z
Mg1 Mg 0.0000 0.0000 0.0000
Sc1 Sc 0.0000 0.0000 0.5000
Sc2 Sc 0.0000 0.5000 0.2500
Al1 Al 0.0000 0.5000 0.7500
```

---

2.
A crystal of CsMo3O9 relaxed with PBEsol. Source: the Alexandria database, functional meta-GGA SCAN.

The volume is 792 Å³ per cell. The uncorrected energy comes out at -17.4521 eV/atom. The calculation puts the uncorrected formation energy at -28.3 eV per formula unit.

Cell and atoms, written as CIF:
```
data_CsMo3O9
_space_group_name_H-M_alt 'C 1 2/m 1'
_space_group_IT_number 12
_space_group_name_Hall '-C 2y'
_cell_length_a 16.1781
_cell_length_b 7.6791
_cell_length_c 6.3889
_cell_angle_alpha 90.00
_cell_angle_beta 94.03
_cell_angle_gamma 90.00
loop_
_atom_site_label
_atom_site_type_symbol
_atom_site_fract_x
_atom_site_fract_y
_atom_site_fract_z
Cs1 Cs 0.1984 0.0000 0.3286
Mo1 Mo 0.0527 0.2395 0.7704
Mo2 Mo 0.1086 0.5000 0.1447
O1 O 0.0000 0.2414 0.5000
O2 O 0.0348 0.0000 0.7954
O3 O 0.0354 0.5000 0.8106
O4 O 0.0737 0.2622 0.0924
O5 O 0.1330 0.5000 0.4079
O6 O 0.1530 0.2371 0.7172
O7 O 0.2018 0.5000 0.0372
```

---

3.
A crystal of TcSe2BrCl relaxed with PBEsol. Source: the Alexandria database, functional meta-GGA SCAN.

The volume is 113 Å³ per cell. The uncorrected energy comes out at -20.3245 eV/atom. The calculation puts the uncorrected formation energy at 1.0 eV per formula unit. Its density of states at the Fermi level is 3.73 states/eV/cell.

Cell and atoms, written as CIF:
```
data_TcSe2BrCl
_space_group_name_H-M_alt 'P 4/m m m'
_space_group_IT_number 123
_space_group_name_Hall '-P 4 2'
_cell_length_a 4.7413
_cell_length_b 4.7413
_cell_length_c 5.0442
_cell_angle_alpha 90.00
_cell_angle_beta 90.00
_cell_angle_gamma 90.00
loop_
_atom_site_label
_atom_site_type_symbol
_atom_site_fract_x
_atom_site_fract_y
_atom_site_fract_z
Tc1 Tc 0.0000 0.0000 0.0000
Se1 Se 0.0000 0.5000 0.0000
Br1 Br 0.0000 0.0000 0.5000
Cl1 Cl 0.5000 0.5000 0.5000
```

---

4.
A crystal of Na2CaNb4Bi2O15 relaxed with PBEsol. Source: the Alexandria database, functional meta-GGA SCAN.

The volume is 1235 Å³ per cell. The uncorrected energy comes out at -19.1955 eV/atom. The calculation puts the uncorrected formation energy at -59.5 eV per formula unit. Its density of states at the Fermi level is 0.00 states/eV/cell.

Cell and atoms, written as CIF:
```
data_Na2CaNb4Bi2O15
_space_group_name_H-M_alt 'C m c 21'
_space_group_IT_number 36
_space_group_name_Hall 'C 2c -2'
_cell_length_a 40.8332
_cell_length_b 5.4677
_cell_length_c 5.5328
_cell_angle_alpha 90.00
_cell_angle_beta 90.00
_cell_angle_gamma 90.00
loop_
_atom_site_label
_atom_site_type_symbol
_atom_site_fract_x
_atom_site_fract_y
_atom_site_fract_z
Na1 Na 0.1030 0.2466 0.0000
Ca1 Ca 0.0000 0.2451 0.9964
Nb1 Nb 0.0501 0.2543 0.5330
Nb2 Nb 0.1487 0.2531 0.5146
Bi1 Bi 0.2191 0.2756 0.9437
O1 O 0.0000 0.3343 0.5800
O2 O 0.0376 0.0432 0.2647
O3 O 0.0531 0.4381 0.8647
O4 O 0.0949 0.1797 0.5438
O5 O 0.1364 0.4741 0.2601
O6 O 0.1502 0.0374 0.8183
O7 O 0.1937 0.3255 0.5326
O8 O 0.2491 0.0093 0.7165
```

---

5.
A crystal of BaAsPb relaxed with PBEsol. Source: the Alexandria database, functional meta-GGA SCAN.

For the formation energy, the calculation gives -0.77 eV per atom. The volume is 98 Å³ per cell. The uncorrected energy comes out at -45.9403 eV/atom. Its density of states at the Fermi level is 0.89 states/eV/cell.

Cell and atoms, written as CIF:
```
data_BaAsPb
_space_group_name_H-M_alt 'P -6 m 2'
_space_group_IT_number 187
_space_group_name_Hall 'P -6 2'
_cell_length_a 4.9906
_cell_length_b 4.9906
_cell_length_c 4.5267
_cell_angle_alpha 90.00
_cell_angle_beta 90.00
_cell_angle_gamma 120.00
loop_
_atom_site_label
_atom_site_type_symbol
_atom_site_fract_x
_atom_site_fract_y
_atom_site_fract_z
Ba1 Ba 0.0000 0.0000 0.0000
As1 As 0.6667 0.3333 0.5000
Pb1 Pb 0.3333 0.6667 0.5000
```

---

6.
A crystal of PRhPb2W relaxed with PBEsol. Source: the Alexandria database, functional meta-GGA SCAN.

For the formation energy, the calculation gives 1.24 eV per atom. The volume is 125 Å³ per cell. The uncorrected energy comes out at -51.8465 eV/atom. Its density of states at the Fermi level is 3.25 states/eV/cell.

Cell and atoms, written as CIF:
```
data_PRhPb2W
_space_group_name_H-M_alt 'P 4/m m m'
_space_group_IT_number 123
_space_group_name_Hall '-P 4 2'
_cell_length_a 5.1107
_cell_length_b 5.1107
_cell_length_c 4.7728
_cell_angle_alpha 90.00
_cell_angle_beta 90.00
_cell_angle_gamma 90.00
loop_
_atom_site_label
_atom_site_type_symbol
_atom_site_fract_x
_atom_site_fract_y
_atom_site_fract_z
P1 P 0.0000 0.0000 0.0000
Rh1 Rh 0.5000 0.5000 0.5000
Pb1 Pb 0.0000 0.5000 0.5000
W1 W 0.5000 0.5000 0.0000
```

---

7.
A crystal of MnAl3Tl relaxed with PBEsol. Source: the Alexandria database, functional meta-GGA SCAN.

For the formation energy, the calculation gives 0.27 eV per atom. The volume is 99 Å³ per cell. The uncorrected energy comes out at -22.5015 eV/atom. Its density of states at the Fermi level is 2.20 states/eV/cell.

Cell and atoms, written as CIF:
```
data_MnAl3Tl
_space_group_name_H-M_alt 'P m -3 m'
_space_group_IT_number 221
_space_group_name_Hall '-P 4 2 3'
_cell_length_a 4.6324
_cell_length_b 4.6324
_cell_length_c 4.6324
_cell_angle_alpha 90.00
_cell_angle_beta 90.00
_cell_angle_gamma 90.00
loop_
_atom_site_label
_atom_site_type_symbol
_atom_site_fract_x
_atom_site_fract_y
_atom_site_fract_z
Mn1 Mn 0.0000 0.0000 0.0000
Al1 Al 0.0000 0.0000 0.5000
Tl1 Tl 0.5000 0.5000 0.5000
```

---

8.
A crystal of PbAuO2 relaxed with PBEsol. Source: the Alexandria database, functional meta-GGA SCAN.

The volume is 144 Å³ per cell. The uncorrected energy comes out at -39.9445 eV/atom. The calculation puts the uncorrected formation energy at -2.4 eV per formula unit. Its density of states at the Fermi level is 2.76 states/eV/cell.

Cell and atoms, written as CIF:
```
data_PbAuO2
_space_group_name_H-M_alt 'P 63/m m c'
_space_group_IT_number 194
_space_group_name_Hall '-P 6c 2c'
_cell_length_a 3.6695
_cell_length_b 3.6695
_cell_length_c 12.3240
_cell_angle_alpha 90.00
_cell_angle_beta 90.00
_cell_angle_gamma 120.00
loop_
_atom_site_label
_atom_site_type_symbol
_atom_site_fract_x
_atom_site_fract_y
_atom_site_fract_z
Pb1 Pb 0.0000 0.0000 0.0000
Au1 Au 0.3333 0.6667 0.2500
O1 O 0.3333 0.6667 0.0902
```

---

9.
A crystal of NaMoN2 relaxed with PBEsol. Source: the Alexandria database, functional meta-GGA SCAN.

The volume is 241 Å³ per cell. The uncorrected energy comes out at -14.9189 eV/atom. The calculation puts the uncorrected formation energy at -2.0 eV per formula unit. Its density of states at the Fermi level is 5.85 states/eV/cell.

Cell and atoms, written as CIF:
```
data_NaMoN2
_space_group_name_H-M_alt 'I -4 2 d'
_space_group_IT_number 122
_space_group_name_Hall 'I -4 2bw'
_cell_length_a 5.1133
_cell_length_b 5.1133
_cell_length_c 9.2182
_cell_angle_alpha 90.00
_cell_angle_beta 90.00
_cell_angle_gamma 90.00
loop_
_atom_site_label
_atom_site_type_symbol
_atom_site_fract_x
_atom_site_fract_y
_atom_site_fract_z
Na1 Na 0.0000 0.0000 0.0000
Mo1 Mo 0.0000 0.0000 0.5000
N1 N 0.1493 0.2500 0.6250
```

---

10.
A crystal of CaGa2Ag2 relaxed with PBEsol. Source: the Alexandria database, functional meta-GGA SCAN.

For the formation energy, the calculation gives -0.26 eV per atom. The volume is 202 Å³ per cell. The uncorrected energy comes out at -21.2821 eV/atom. Its density of states at the Fermi level is 4.99 states/eV/cell.

Cell and atoms, written as CIF:
```
data_CaGa2Ag2
_space_group_name_H-M_alt 'I 4/m m m'
_space_group_IT_number 139
_space_group_name_Hall '-I 4 2'
_cell_length_a 4.1343
_cell_length_b 4.1343
_cell_length_c 11.8313
_cell_angle_alpha 90.00
_cell_angle_beta 90.00
_cell_angle_gamma 90.00
loop_
_atom_site_label
_atom_site_type_symbol
_atom_site_fract_x
_atom_site_fract_y
_atom_site_fract_z
Ca1 Ca 0.0000 0.0000 0.0000
Ga1 Ga 0.0000 0.5000 0.2500
Ag1 Ag 0.0000 0.0000 0.3867
```

---

11.
A crystal of Ca2PdAu2 relaxed with PBEsol. Source: the Alexandria database, functional meta-GGA SCAN.

For the formation energy, the calculation gives -0.80 eV per atom. The volume is 218 Å³ per cell. The uncorrected energy comes out at -38.8805 eV/atom. Its density of states at the Fermi level is 3.74 states/eV/cell.

Cell and atoms, written as CIF:
```
data_Ca2PdAu2
_space_group_name_H-M_alt 'P 4/m b m'
_space_group_IT_number 127
_space_group_name_Hall '-P 4 2ab'
_cell_length_a 7.3191
_cell_length_b 7.3191
_cell_length_c 4.0648
_cell_angle_alpha 90.00
_cell_angle_beta 90.00
_cell_angle_gamma 90.00
loop_
_atom_site_label
_atom_site_type_symbol
_atom_site_fract_x
_atom_site_fract_y
_atom_site_fract_z
Ca1 Ca 0.1746 0.3254 0.0000
Pd1 Pd 0.0000 0.0000 0.5000
Au1 Au 0.1331 0.6331 0.5000
```

---

12.
A crystal of BaCdTc relaxed with PBEsol. Source: the Alexandria database, functional meta-GGA SCAN.

For the formation energy, the calculation gives 0.65 eV per atom. The volume is 86 Å³ per cell. The uncorrected energy comes out at -34.3625 eV/atom. Its density of states at the Fermi level is 2.29 states/eV/cell.

Cell and atoms, written as CIF:
```
data_BaCdTc
_space_group_name_H-M_alt 'P -6 m 2'
_space_group_IT_number 187
_space_group_name_Hall 'P -6 2'
_cell_length_a 4.7004
_cell_length_b 4.7004
_cell_length_c 4.5079
_cell_angle_alpha 90.00
_cell_angle_beta 90.00
_cell_angle_gamma 120.00
loop_
_atom_site_label
_atom_site_type_symbol
_atom_site_fract_x
_atom_site_fract_y
_atom_site_fract_z
Ba1 Ba 0.0000 0.0000 0.0000
Cd1 Cd 0.3333 0.6667 0.5000
Tc1 Tc 0.6667 0.3333 0.5000
```